[1]
Compound: MgBPt6
Source: the Alexandria database
Functional: PBE
Structure: relaxed

Cell lengths 5.0948, 5.0948, 5.0945 Å; angles 80.29, 80.29, 99.71 degrees
Last column: nearest neighbours and their distance in Å.
Fractional positions:
Mg 0.5000 0.5000 0.5000  12 Pt 2.75-3.00
B 0.0000 0.0000 0.0000  6 Pt 2.09
Pt 0.0983 0.7098 0.2903  1 B 2.09
Pt 0.7098 0.0983 0.2903  1 B 2.09
Pt 0.2902 0.9017 0.7097  1 B 2.09
Pt 0.9017 0.2902 0.7097  1 B 2.09
Pt 0.2903 0.2903 0.0982  1 B 2.09
Pt 0.7097 0.7097 0.9018  1 B 2.09

Crystal system   trigonal
SG   R-3m, No. 166
Formation energy from the elements   -1.704 eV per formula unit

***

[2]
Compound: ThFe4P12
Source: the Alexandria database
Functional: PBE
Structure: relaxed

Cell lengths 6.7554, 6.7554, 6.7554 Å; angles 109.47, 109.47, 109.47 degrees
Last column: nearest neighbours and their distance in Å.
Fractional positions:
Th 0.0000 0.0000 0.0000  12 P 2.99
Fe 0.0000 0.0000 0.5000  6 P 2.24
Fe 0.0000 0.5000 0.0000  6 P 2.24
Fe 0.5000 0.0000 0.0000  6 P 2.24
Fe 0.5000 0.5000 0.5000  6 P 2.24
P 0.8477 0.6486 0.4963  2 Fe 2.24, 2 P 2.32-2.38
P 0.8477 0.3514 0.1991  2 Fe 2.24, 2 P 2.32-2.38
P 0.1523 0.6486 0.8009  2 Fe 2.24, 2 P 2.32-2.38
P 0.3514 0.5037 0.1523  2 Fe 2.24, 2 P 2.32-2.38
P 0.5037 0.1523 0.3514  2 Fe 2.24, 2 P 2.32-2.38
P 0.1523 0.3514 0.5037  2 Fe 2.24, 2 P 2.32-2.38
P 0.6486 0.8009 0.1523  2 Fe 2.24, 2 P 2.32-2.38
P 0.1991 0.8477 0.3514  2 Fe 2.24, 2 P 2.32-2.38
P 0.6486 0.4963 0.8477  2 Fe 2.24, 2 P 2.32-2.38
P 0.8009 0.1523 0.6486  2 Fe 2.24, 2 P 2.32-2.38
P 0.3514 0.1991 0.8477  2 Fe 2.24, 2 P 2.32-2.38
P 0.4963 0.8477 0.6486  2 Fe 2.24, 2 P 2.32-2.38

Crystal system   cubic
SG   Im-3, No. 204
Formation energy from the elements   -11.187 eV per formula unit

***

[3]
Compound: KAg2BiI
Source: the Alexandria database
Functional: PBE
Structure: relaxed

Cell lengths 5.4409, 6.9683, 5.4409 Å; angles 90.00, 90.00, 90.00 degrees
Last column: nearest neighbours and their distance in Å.
Fractional positions:
I 0.0000 0.5000 0.0000  2 Bi 3.48, 4 K 3.85
K 0.5000 0.5000 0.5000  4 I 3.85
Bi 0.0000 0.0000 0.0000  4 Ag 2.72
Ag 0.0000 0.0000 0.5000  2 Bi 2.72
Ag 0.5000 0.0000 0.0000  2 Bi 2.72

Crystal system   tetragonal
ΔE_f (raw)   -127 meV per atom
SG   P4/mmm, No. 123

***

[4]
Compound: SmPaHg4
Source: the Alexandria database
Functional: PBE
Structure: relaxed

Cell lengths 5.9626, 5.9626, 5.9626 Å; angles 60.00, 60.00, 60.00 degrees
Last column: nearest neighbours and their distance in Å.
Fractional positions:
Pa 0.2500 0.2500 0.2500  12 Hg 3.50, 4 Sm 3.65
Hg 0.6249 0.6249 0.1254  6 Hg 2.98
Hg 0.6249 0.1254 0.6249  6 Hg 2.98
Hg 0.6249 0.6249 0.6249  6 Hg 2.98
Hg 0.1254 0.6249 0.6249  6 Hg 2.98
Sm 0.0000 0.0000 0.0000  12 Hg 3.50, 4 Pa 3.65

Crystal system   cubic
SG   F-43m, No. 216
Formation energy from the elements   0.126 eV per formula unit